1.
# LiFeW2

An optimized crystal structure of LiFeW2 (GGA-PBE, Alexandria).

Results
Density in g cm⁻³: 12.8
ΔE to the lowest computed polymorph in eV per formula unit: 0.60
Volume in Å³ per atom: 14.00
Size of the total moment in μB/f.u.: 2.07
Energy of formation from the pure elements in eV/atom: 0.444

```
data_LiFeW2
_space_group_name_H-M_alt 'P 4 m m'
_space_group_IT_number 99
_cell_length_a 3.174
_cell_length_b 3.174
_cell_length_c 5.557
_cell_angle_alpha 90.00
_cell_angle_beta 90.00
_cell_angle_gamma 90.00
loop_
_space_group_symop_operation_xyz
'x,y,z'
'-y,x,z'
'-x,-y,z'
'y,-x,z'
'-x,y,z'
'y,x,z'
'x,-y,z'
'-y,-x,z'
loop_
_atom_site_label
_atom_site_type_symbol
_atom_site_fract_x
_atom_site_fract_y
_atom_site_fract_z
Li1 Li 0.000 0.000 0.000
Fe1 Fe 0.500 0.500 0.781
W1 W 0.000 0.000 0.519
W2 W 0.500 0.500 0.255
```

2.
# LiFeW2

An optimized crystal structure of LiFeW2 (GGA-PBE, Alexandria).

Results
Density in g cm⁻³: 11.9
ΔE to the lowest computed polymorph in eV per formula unit: 0.00
Volume in Å³ per atom: 15.03
Size of the total moment in μB/f.u.: 2.15
Energy of formation from the pure elements in eV/atom: 0.293

```
data_LiFeW2
_space_group_name_H-M_alt 'C m m 2'
_space_group_IT_number 35
_cell_length_a 3.117
_cell_length_b 4.348
_cell_length_c 8.872
_cell_angle_alpha 90.00
_cell_angle_beta 90.00
_cell_angle_gamma 90.00
loop_
_space_group_symop_operation_xyz
'x,y,z'
'-x,-y,z'
'-x,y,z'
'x,-y,z'
'x+1/2,y+1/2,z'
'-x+1/2,-y+1/2,z'
'-x+1/2,y+1/2,z'
'x+1/2,-y+1/2,z'
loop_
_atom_site_label
_atom_site_type_symbol
_atom_site_fract_x
_atom_site_fract_y
_atom_site_fract_z
Li1 Li 0.000 0.000 0.000
Fe1 Fe 0.000 0.500 0.755
W1 W 0.000 0.000 0.526
W2 W 0.000 0.500 0.269
```

3.
# LiFeW2

An optimized crystal structure of LiFeW2 (GGA-PBE, Alexandria).

Results
Density in g cm⁻³: 12.7
ΔE to the lowest computed polymorph in eV per formula unit: 0.33
Volume in Å³ per atom: 14.10
Size of the total moment in μB/f.u.: 1.44
Energy of formation from the pure elements in eV/atom: 0.375

```
data_LiFeW2
_space_group_name_H-M_alt 'P 1 2/m 1'
_space_group_IT_number 10
_cell_length_a 2.619
_cell_length_b 4.287
_cell_length_c 5.103
_cell_angle_alpha 90.00
_cell_angle_beta 100.01
_cell_angle_gamma 90.00
loop_
_space_group_symop_operation_xyz
'x,y,z'
'-x,-y,-z'
'-x,y,-z'
'x,-y,z'
loop_
_atom_site_label
_atom_site_type_symbol
_atom_site_fract_x
_atom_site_fract_y
_atom_site_fract_z
Li1 Li 0.000 0.000 0.000
Fe1 Fe 0.500 0.000 0.500
W1 W 0.241 0.500 0.749
```

4.
# LiFeW2

An optimized crystal structure of LiFeW2 (GGA-PBE, Alexandria).

Results
Density in g cm⁻³: 13.0
ΔE to the lowest computed polymorph in eV per formula unit: 1.06
Volume in Å³ per atom: 13.71
Size of the total moment in μB/f.u.: 1.59
Energy of formation from the pure elements in eV/atom: 0.558

```
data_LiFeW2
_space_group_name_H-M_alt 'P 4/m m m'
_space_group_IT_number 123
_space_group_name_Hall '-P 4 2'
_cell_length_a 3.175
_cell_length_b 3.175
_cell_length_c 5.440
_cell_angle_alpha 90.00
_cell_angle_beta 90.00
_cell_angle_gamma 90.00
loop_
_atom_site_label
_atom_site_type_symbol
_atom_site_fract_x
_atom_site_fract_y
_atom_site_fract_z
Li1 Li 0.000 0.000 0.000
Fe1 Fe 0.000 0.000 0.500
W1 W 0.500 0.500 0.259
```

5.
# LiFeW

An optimized crystal structure of LiFeW (GGA-PBE, Alexandria).

Results
Density in g cm⁻³: 10.5
ΔE to the lowest computed polymorph in eV per formula unit: 0.21
Volume in Å³ per atom: 13.02
Size of the total moment in μB/f.u.: 1.18
Energy of formation from the pure elements in eV/atom: 0.414

```
data_LiFeW
_space_group_name_H-M_alt 'I m m 2'
_space_group_IT_number 44
_cell_length_a 2.543
_cell_length_b 4.082
_cell_length_c 7.527
_cell_angle_alpha 90.00
_cell_angle_beta 90.00
_cell_angle_gamma 90.00
loop_
_space_group_symop_operation_xyz
'x,y,z'
'-x,-y,z'
'-x,y,z'
'x,-y,z'
'x+1/2,y+1/2,z+1/2'
'-x+1/2,-y+1/2,z+1/2'
'-x+1/2,y+1/2,z+1/2'
'x+1/2,-y+1/2,z+1/2'
loop_
_atom_site_label
_atom_site_type_symbol
_atom_site_fract_x
_atom_site_fract_y
_atom_site_fract_z
Li1 Li 0.000 0.000 0.000
Fe1 Fe 0.000 0.000 0.338
W1 W 0.000 0.000 0.668
```

6.
# LiFeW2

An optimized crystal structure of LiFeW2 (GGA-PBE, Alexandria).

Results
Density in g cm⁻³: 13.0
ΔE to the lowest computed polymorph in eV per formula unit: 0.84
Volume in Å³ per atom: 13.77
Size of the total moment in μB/f.u.: 1.77
Energy of formation from the pure elements in eV/atom: 0.502

```
data_LiFeW2
_space_group_name_H-M_alt 'I -4 m 2'
_space_group_IT_number 119
_space_group_name_Hall 'I -4 -2'
_cell_length_a 3.674
_cell_length_b 3.674
_cell_length_c 8.162
_cell_angle_alpha 90.00
_cell_angle_beta 90.00
_cell_angle_gamma 90.00
loop_
_atom_site_label
_atom_site_type_symbol
_atom_site_fract_x
_atom_site_fract_y
_atom_site_fract_z
Li1 Li 0.000 0.000 0.000
Fe1 Fe 0.000 0.500 0.250
W1 W 0.000 0.000 0.500
W2 W 0.000 0.500 0.750
```